No. 1
POsN2 | the Alexandria database | PBE-GGA | relaxed; energy relative to the elements, uncorrected = 0.5111 eV/atom
1.0
-0.654 1.084 2.421
-3.476 1.196 -0.007
-2.767 -4.204 1.406
N P Os
2 1 1
Cartesian
-3.452 1.332 0.612
-4.266 -0.306 3.008
-4.475 1.085 1.982
-2.021 -2.184 1.469


No. 2
MgMn2Pt | the Alexandria database | PBE-GGA | relaxed; energy = -25.57 eV per formula unit
1.0
-3.789 -7.449 -3.699
-1.033 -8.296 -3.693
-2.652 -8.644 -1.334
Pt Mg Mn
1 1 2
Cartesian
-1.868 -6.097 -2.182
-5.605 -18.291 -6.545
-3.765 -12.286 -4.396
-7.446 -24.297 -8.693


No. 3
ZrTaPt | the Alexandria database | PBE-GGA | relaxed; E above lowest polymorph = 0.000 eV per atom
1.0
-2.888 -5.868 -0.998
-0.044 -6.597 -0.492
-0.716 -0.873 2.757
Pt Zr Ta
1 1 1
Cartesian
-2.917 -12.383 -1.460
-2.187 -8.566 -0.061
-1.477 -4.854 1.299


no.,V (Å³/cell)
1,47.6
2,64.7
3,55.7